# 1
NaTbAsO | PBE-GGA | relaxed

abc: 3.9054 3.9054 10.3946
angles: 90.00 90.00 90.00
With the nearest neighbours (Å) after each atom.
Element x y z (fractional)
Na (0.2500, 0.7500, 0.0000)  4 Na 2.76, 4 As 2.93
Na (0.7500, 0.2500, 0.0000)  4 Na 2.76, 4 As 2.93
Tb (0.2500, 0.2500, 0.3925)  4 O 2.25
Tb (0.7500, 0.7500, 0.6075)  4 O 2.25
As (0.2500, 0.2500, 0.7901)  4 Na 2.93
As (0.7500, 0.7500, 0.2099)  4 Na 2.93
O (0.2500, 0.7500, 0.5000)  4 Tb 2.25
O (0.7500, 0.2500, 0.5000)  4 Tb 2.25

Values from the calculation:
The calculation puts the total magnetization at 0.00 μB per cell. The value obtained for the offset from the most stable computed form is 0.000 eV per atom.

***

# 2
NaTbAsO | PBE-GGA | relaxed

abc: 3.5298 8.3493 6.0286
angles: 90.00 90.00 90.00
With the nearest neighbours (Å) after each atom.
Element x y z (fractional)
Na (0.0000, 0.0706, 0.0000)  2 O 2.23-2.30
Na (0.0000, 0.9294, 0.5000)  2 O 2.23-2.30
Tb (0.5000, 0.3170, 0.3773)  2 O 2.13
Tb (0.5000, 0.6830, 0.8773)  2 O 2.13
As (0.5000, 0.3361, 0.8680)  3 Tb 2.90-3.07, 2 Na 2.94
As (0.5000, 0.6639, 0.3680)  3 Tb 2.90-3.07, 2 Na 2.94
O (0.0000, 0.1750, 0.3526)  2 Tb 2.13, 2 Na 2.23-2.30
O (0.0000, 0.8250, 0.8526)  2 Tb 2.13, 2 Na 2.23-2.30

Values from the calculation:
The calculation puts the total magnetization at 0.00 μB per cell. The value obtained for the offset from the most stable computed form is 0.096 eV per atom.

***

- Which formula does entry 2 have?
  NaTbAsO

***

- Which value of offset from the most stable computed form does entry 2 give?
  0.096 eV per atom

***

- Which formula does entry 1 have?
  NaTbAsO